Below is a relaxed Sr5Al2Pb crystal, with properties calculated at the PBE-GGA level.

Cell lengths 8.626, 8.626, 16.318 Å; angles 90.00, 90.00, 90.00 degrees
Space group I4/mcm (No. 140)
Symmetry-distinct sites (fractional):
Sr: 0.000 0.000 0.000 (multiplicity 4)
Sr: 0.178 0.322 0.141 (multiplicity 16)
Al: 0.107 0.393 0.500 (multiplicity 8)
Pb: 0.000 0.000 0.250 (multiplicity 4)

Values from the calculation:
Energy of formation in eV per atom: -0.2860
DOS at the Fermi energy in states/eV/atom: 0.89
Magnetization in μB/f.u.: 0.5

---

Below is a relaxed SrAlPb2 crystal, with properties calculated at the PBE-GGA level.

Cell lengths 6.809, 11.159, 3.572 Å; angles 90.00, 116.33, 90.00 degrees
Space group C2/m (No. 12)
Symmetry-distinct sites (fractional):
Sr: 0.000 0.000 0.000 (multiplicity 2)
Al: 0.000 0.500 0.000 (multiplicity 2)
Pb: 0.250 0.250 0.500 (multiplicity 4)

Values from the calculation:
Energy of formation in eV per atom: -0.0184
DOS at the Fermi energy in states/eV/atom: 0.57
Magnetization in μB/f.u.: 0.0